Below is V2In3F9 after structural relaxation, with properties calculated at the PBE with a Hubbard U level.

CIF file:
```
data_V2In3F9
_symmetry_space_group_name_H-M 'P 1'
_symmetry_Int_Tables_number 1
_cell_length_a 7.9880
_cell_length_b 7.9880
_cell_length_c 7.9880
_cell_angle_alpha 84.75
_cell_angle_beta 84.75
_cell_angle_gamma 84.75
loop_
_symmetry_equiv_pos_as_xyz
'x,y,z'
loop_
_atom_site_label
_atom_site_fract_x
_atom_site_fract_y
_atom_site_fract_z
V1 0.1536 0.1536 0.1536
V2 0.3464 0.3464 0.3464
V3 0.6536 0.6536 0.6536
V4 0.8464 0.8464 0.8464
In1 0.1282 0.7500 0.3718
In2 0.2500 0.6282 0.8718
In3 0.3718 0.1282 0.7500
In4 0.6282 0.8718 0.2500
In5 0.7500 0.3718 0.1282
In6 0.8718 0.2500 0.6282
F1 0.0710 0.8978 0.7594
F2 0.1022 0.2406 0.9290
F3 0.1134 0.3866 0.2500
F4 0.2406 0.9290 0.1022
F5 0.2500 0.1134 0.3866
F6 0.2594 0.3978 0.5710
F7 0.3866 0.2500 0.1134
F8 0.3978 0.5710 0.2594
F9 0.4290 0.7406 0.6022
F10 0.5710 0.2594 0.3978
F11 0.6022 0.4290 0.7406
F12 0.6134 0.7500 0.8866
F13 0.7406 0.6022 0.4290
F14 0.7500 0.8866 0.6134
F15 0.7594 0.0710 0.8978
F16 0.8866 0.6134 0.7500
F17 0.8978 0.7594 0.0710
F18 0.9290 0.1022 0.2406
```

V (Å³ per cell): 503.64
Total DFT energy (no corrections) (eV per atom): -5.166
N(E_F) (states/eV/f.u.): 0.00
Spin magnetization (μB per formula unit): 4.000